Compound: FePN2O
Source: Alexandria
Functional: PBE with a Hubbard U
Structure: optimized geometry

Lattice parameters (Å, degrees): 3.4935 3.4935 3.5484 90.00 90.00 90.00
Closest atoms and distances in Å follow each position.
Sites, in units of the cell vectors:
1 Fe 0.5000 0.5000 0.5000  4 O 2.47, 8 N 2.49
2 N 0.0000 0.5000 0.0000  2 P 1.75
3 N 0.5000 0.0000 0.0000  2 P 1.75
4 P 0.0000 0.0000 0.0000  4 N 1.75, 2 O 1.77
5 O 0.0000 0.0000 0.5000  2 P 1.77

Calculated values
For the spin magnetization, the calculation gives 4.69 μB per formula unit. For the density of states at the Fermi level, the calculation gives 1.4 states/eV/cell. Its space group is P4/mmm, No. 123. The uncorrected energy is -6.23 eV per atom.